# SCAN MgTlZn, single point on PBEsol structure
# formation energy: 15.51 kJ per mole of atoms
# magnetization: 0.000 μB per atom
# D(E_F): 4.27 states/eV/cell
# total energy: -361.460 eV for the cell shown
# theoretical density: 6.87 Mg/m³
data_MgTlZn
_cell_length_a 6.575
_cell_length_b 6.575
_cell_length_c 6.575
_cell_angle_alpha 90.00
_cell_angle_beta 90.00
_cell_angle_gamma 90.00
_symmetry_space_group_name_H-M 'F -4 3 m'
_symmetry_Int_Tables_number 216
_symmetry_space_group_name_Hall 'F -4 2 3'
loop_
_atom_site_label
_atom_site_type_symbol
_atom_site_fract_x
_atom_site_fract_y
_atom_site_fract_z
Mg1 Mg 0.000 0.000 0.000
Tl1 Tl 0.250 0.250 0.750
Zn1 Zn 0.250 0.250 0.250

=====

# SCAN La2InSi, single point on PBEsol structure
# energy relative to the elements, uncorrected: -0.7025 eV per atom
# magnetization: 0.233 μB per atom
# D(E_F): 4.98 states/eV/cell
# total energy: -264.845 eV for the cell shown
# theoretical density: 6.22 Mg/m³
data_La2InSi
_cell_length_a 4.215
_cell_length_b 4.590
_cell_length_c 11.606
_cell_angle_alpha 90.00
_cell_angle_beta 90.00
_cell_angle_gamma 90.00
_symmetry_space_group_name_H-M 'A m m 2'
_symmetry_Int_Tables_number 38
_symmetry_space_group_name_Hall 'A 2 -2'
loop_
_atom_site_label
_atom_site_type_symbol
_atom_site_fract_x
_atom_site_fract_y
_atom_site_fract_z
La1 La 0.000 0.000 0.000
La2 La 0.500 0.000 0.287
In1 In 0.500 0.000 0.577
Si1 Si 0.000 0.000 0.725